BaTe2Au | SCAN | single point on PBEsol structure

Cell and atoms, written as POSCAR:
```
BaTe2Au
1.0
4.215 0.000 0.000
0.000 4.636 0.216
0.000 -0.269 6.988
Te Ba Au
2 1 1
direct
0.000 0.002 0.756 Te
0.000 0.998 0.244 Te
0.500 0.500 0.000 Ba
0.500 0.000 0.500 Au
```

Summary:
- Symmetry: No. 10
- Uncorrected formation energy: -0.92 eV per atom

ZnIrAu | SCAN | single point on PBEsol structure

Cell and atoms, written as POSCAR:
```
ZnIrAu
1.0
2.816 0.000 0.000
0.000 2.816 0.000
-1.408 -1.408 5.564
Zn Ir Au
1 1 1
direct
0.327 0.327 0.654 Zn
0.677 0.677 0.354 Ir
0.996 0.996 0.992 Au
```

Summary:
- Symmetry: No. 107
- DFT formation energy: 0.18 eV/f.u.

TiCu2RuW | SCAN | single point on PBEsol structure

Cell and atoms, written as POSCAR:
```
TiCu2RuW
1.0
-0.371 3.160 -2.937
-3.553 -1.896 -1.591
-2.467 2.292 2.778
Ru Cu W Ti
1 2 1 1
direct
0.500 0.500 0.500 Ru
0.000 0.500 0.000 Cu
0.500 0.000 0.000 Cu
0.000 0.000 0.500 W
0.000 0.000 0.000 Ti
```

Summary:
- Symmetry: No. 123
- DFT formation energy: 9.51 eV/f.u.

Si2AsBr | SCAN | single point on PBEsol structure

Cell and atoms, written as POSCAR:
```
Si2AsBr
1.0
4.673 0.007 0.012
-1.584 4.396 -0.012
-1.584 -2.174 3.821
Br As Si
1 1 2
direct
0.000 0.500 0.500 Br
0.000 0.000 0.000 As
0.500 0.500 0.000 Si
0.500 0.000 0.500 Si
```

Summary:
- Symmetry: No. 139
- Uncorrected formation energy: 0.59 eV per atom

BaNb2Pt2 | SCAN | single point on PBEsol structure

Cell and atoms, written as POSCAR:
```
BaNb2Pt2
1.0
-1.644 -3.452 -2.267
-1.859 -1.561 3.724
-2.907 5.444 -1.822
Nb Ba Pt
2 1 2
direct
0.750 0.250 0.500 Nb
0.250 0.750 0.500 Nb
0.000 0.000 0.000 Ba
0.378 0.378 0.757 Pt
0.622 0.622 0.243 Pt
```

Summary:
- Symmetry: No. 139
- DFT formation energy: -1.94 eV/f.u.

Mg2BeGeAu | SCAN | single point on PBEsol structure

Cell and atoms, written as POSCAR:
```
Mg2BeGeAu
1.0
4.057 0.000 0.000
0.000 5.027 0.000
0.000 0.000 5.027
Mg Be Au Ge
2 1 1 1
direct
0.000 0.000 0.500 Mg
0.000 0.500 0.000 Mg
0.500 0.000 0.000 Be
0.500 0.500 0.500 Au
0.000 0.000 0.000 Ge
```

Summary:
- Symmetry: No. 123
- DFT formation energy: 0.95 eV/f.u.

Number 1: energy -46.7187 eV per atom. Number 2: energy -51.1977 eV per atom. Number 3: energy -28.2868 eV per atom. Number 4: energy -14.3321 eV per atom. Number 5: energy -49.6264 eV per atom. Number 6: energy -20.3192 eV per atom.